(1)
First-principles (GGA-PBE) data for crystalline In5Sb at its relaxed geometry, as listed in the Alexandria database.

Output
Fermi-level density of states = 3.990 states/eV/f.u.
VASP energy = -16.561 eV for the cell shown
Relative energy among the computed polymorphs = 0.192 eV/atom
Formation energy (no corrections) = 208.9 meV per atom
SG = P6/mmm

abc: 6.035 6.035 5.698
angles: 90.00 90.00 120.00
Element x y z (fractional)
In 0.000 0.500 0.000
In 0.333 0.667 0.500
In 0.500 0.000 0.000
In 0.500 0.500 0.000
In 0.667 0.333 0.500
Sb 0.000 0.000 0.500


(2)
First-principles (GGA-PBE) data for crystalline InSb at its relaxed geometry, as listed in the Alexandria database.

Output
Fermi-level density of states = 0.818 states/eV/f.u.
VASP energy = -27.410 eV for the cell shown
Formation energy (no corrections) = 4.2 meV per atom
SG = Fddd

abc: 8.286 6.934 6.538
angles: 75.85 54.24 49.91
Element x y z (fractional)
In 0.109 0.641 0.109
In 0.359 0.891 0.359
In 0.641 0.109 0.641
In 0.891 0.359 0.891
Sb 0.147 0.603 0.603
Sb 0.397 0.853 0.853
Sb 0.603 0.147 0.147
Sb 0.853 0.397 0.397


(3)
First-principles (GGA-PBE) data for crystalline InSb at its relaxed geometry, as listed in the Alexandria database.

Output
Fermi-level density of states = 0.414 states/eV/f.u.
VASP energy = -40.950 eV for the cell shown
Formation energy (no corrections) = 17.9 meV per atom
SG = Pmmn

abc: 4.734 13.710 6.295
angles: 90.00 90.00 90.00
Element x y z (fractional)
In 0.250 0.091 0.067
In 0.250 0.409 0.067
In 0.250 0.750 0.498
In 0.750 0.250 0.502
In 0.750 0.591 0.933
In 0.750 0.909 0.933
Sb 0.250 0.250 0.768
Sb 0.250 0.552 0.671
Sb 0.250 0.948 0.671
Sb 0.750 0.052 0.329
Sb 0.750 0.448 0.329
Sb 0.750 0.750 0.232


(4)
First-principles (GGA-PBE) data for crystalline InSb at its relaxed geometry, as listed in the Alexandria database.

Output
Fermi-level density of states = 0.214 states/eV/f.u.
VASP energy = -7.100 eV for the cell shown
Formation energy (no corrections) = -119.5 meV per atom
SG = F-43m

abc: 4.686 4.686 4.686
angles: 60.00 60.00 60.00
Element x y z (fractional)
In 0.000 0.000 0.000
Sb 0.250 0.250 0.250


(5)
First-principles (GGA-PBE) data for crystalline InSb2 at its relaxed geometry, as listed in the Alexandria database.

Output
Fermi-level density of states = 1.214 states/eV/f.u.
VASP energy = -10.686 eV for the cell shown
Formation energy (no corrections) = 99.0 meV per atom
SG = I4/mmm

abc: 6.571 6.571 6.571
angles: 146.09 146.09 48.72
Element x y z (fractional)
In 0.000 0.000 0.000
Sb 0.311 0.311 0.000
Sb 0.689 0.689 0.000


(6)
First-principles (GGA-PBE) data for crystalline In5Sb3 at its relaxed geometry, as listed in the Alexandria database.

Output
Fermi-level density of states = 1.242 states/eV/f.u.
VASP energy = -51.884 eV for the cell shown
Relative energy among the computed polymorphs = 0.000 eV/atom
Formation energy (no corrections) = 14.7 meV per atom
SG = P6_3/mcm

abc: 9.260 9.260 6.461
angles: 90.00 90.00 120.00
Element x y z (fractional)
In 0.000 0.308 0.250
In 0.000 0.692 0.750
In 0.308 0.000 0.250
In 0.308 0.308 0.750
In 0.333 0.667 0.000
In 0.333 0.667 0.500
In 0.667 0.333 0.000
In 0.667 0.333 0.500
In 0.692 0.000 0.750
In 0.692 0.692 0.250
Sb 0.000 0.345 0.750
Sb 0.000 0.655 0.250
Sb 0.345 0.000 0.750
Sb 0.345 0.345 0.250
Sb 0.655 0.000 0.250
Sb 0.655 0.655 0.750


(7)
First-principles (GGA-PBE) data for crystalline InSb at its relaxed geometry, as listed in the Alexandria database.

Output
Fermi-level density of states = 0.649 states/eV/f.u.
VASP energy = -13.561 eV for the cell shown
Formation energy (no corrections) = 40.3 meV per atom
SG = Cmcm

abc: 6.953 6.953 4.176
angles: 90.00 90.00 144.58
Element x y z (fractional)
In 0.168 0.832 0.750
In 0.832 0.168 0.250
Sb 0.400 0.600 0.750
Sb 0.600 0.400 0.250


(8)
First-principles (GGA-PBE) data for crystalline InSb at its relaxed geometry, as listed in the Alexandria database.

Output
Fermi-level density of states = 1.117 states/eV/f.u.
VASP energy = -13.454 eV for the cell shown
Formation energy (no corrections) = 66.9 meV per atom
SG = P2_1/m

abc: 3.180 5.401 6.627
angles: 90.00 90.40 90.00
Element x y z (fractional)
In 0.240 0.250 0.106
In 0.760 0.750 0.894
Sb 0.487 0.250 0.614
Sb 0.513 0.750 0.386


(9)
First-principles (GGA-PBE) data for crystalline InSb3 at its relaxed geometry, as listed in the Alexandria database.

Output
Fermi-level density of states = 2.430 states/eV/f.u.
VASP energy = -14.347 eV for the cell shown
Relative energy among the computed polymorphs = 0.200 eV/atom
Formation energy (no corrections) = 189.7 meV per atom
SG = Pm-3m

abc: 4.806 4.806 4.806
angles: 90.00 90.00 90.00
Element x y z (fractional)
In 0.000 0.000 0.000
Sb 0.000 0.500 0.500
Sb 0.500 0.000 0.500
Sb 0.500 0.500 0.000


(10)
First-principles (GGA-PBE) data for crystalline In3Sb2 at its relaxed geometry, as listed in the Alexandria database.

Output
Fermi-level density of states = 1.672 states/eV/f.u.
VASP energy = -32.557 eV for the cell shown
Relative energy among the computed polymorphs = 0.043 eV/atom
Formation energy (no corrections) = 36.3 meV per atom
SG = R-3c

abc: 7.602 7.602 7.602
angles: 62.45 62.45 62.45
Element x y z (fractional)
In 0.012 0.750 0.488
In 0.250 0.512 0.988
In 0.488 0.012 0.750
In 0.512 0.988 0.250
In 0.750 0.488 0.012
In 0.988 0.250 0.512
Sb 0.122 0.122 0.122
Sb 0.378 0.378 0.378
Sb 0.622 0.622 0.622
Sb 0.878 0.878 0.878


(11)
First-principles (GGA-PBE) data for crystalline InSb2 at its relaxed geometry, as listed in the Alexandria database.

Output
Fermi-level density of states = 2.774 states/eV/f.u.
VASP energy = -10.215 eV for the cell shown
Formation energy (no corrections) = 256.2 meV per atom
SG = Fm-3m

abc: 5.110 5.110 5.110
angles: 60.00 60.00 60.00
Element x y z (fractional)
In 0.000 0.000 0.000
Sb 0.250 0.250 0.250
Sb 0.750 0.750 0.750


(12)
First-principles (GGA-PBE) data for crystalline In4Sb5 at its relaxed geometry, as listed in the Alexandria database.

Output
Fermi-level density of states = 5.694 states/eV/f.u.
VASP energy = -30.623 eV for the cell shown
Relative energy among the computed polymorphs = 0.000 eV/atom
Formation energy (no corrections) = 104.8 meV per atom
SG = I4/mmm

abc: 8.271 8.271 8.271
angles: 93.20 93.20 152.66
Element x y z (fractional)
In 0.000 0.323 0.323
In 0.000 0.677 0.677
In 0.323 0.000 0.323
In 0.677 0.000 0.677
Sb 0.000 0.000 0.000
Sb 0.325 0.325 0.650
Sb 0.325 0.675 0.000
Sb 0.675 0.325 0.000
Sb 0.675 0.675 0.350


(13)
First-principles (GGA-PBE) data for crystalline InSb3 at its relaxed geometry, as listed in the Alexandria database.

Output
Fermi-level density of states = 2.440 states/eV/f.u.
VASP energy = -14.413 eV for the cell shown
Relative energy among the computed polymorphs = 0.183 eV/atom
Formation energy (no corrections) = 173.3 meV per atom
SG = Cmmm

abc: 3.286 3.286 10.600
angles: 90.00 90.00 107.28
Element x y z (fractional)
In 0.000 0.000 0.000
Sb 0.000 0.000 0.500
Sb 0.500 0.500 0.253
Sb 0.500 0.500 0.747


(14)
First-principles (GGA-PBE) data for crystalline InSb6 at its relaxed geometry, as listed in the Alexandria database.

Output
Fermi-level density of states = 4.621 states/eV/f.u.
VASP energy = -24.712 eV for the cell shown
Formation energy (no corrections) = 394.4 meV per atom
SG = Im-3m

abc: 7.306 7.306 7.306
angles: 109.47 109.47 109.47
Element x y z (fractional)
In 0.000 0.000 0.000
Sb 0.250 0.500 0.750
Sb 0.250 0.750 0.500
Sb 0.500 0.250 0.750
Sb 0.500 0.750 0.250
Sb 0.750 0.250 0.500
Sb 0.750 0.500 0.250


(15)
First-principles (GGA-PBE) data for crystalline InSb at its relaxed geometry, as listed in the Alexandria database.

Output
Fermi-level density of states = 1.157 states/eV/f.u.
VASP energy = -6.824 eV for the cell shown
Formation energy (no corrections) = 18.6 meV per atom
SG = Fm-3m

abc: 4.344 4.344 4.344
angles: 60.00 60.00 60.00
Element x y z (fractional)
In 0.000 0.000 0.000
Sb 0.500 0.500 0.500


(16)
First-principles (GGA-PBE) data for crystalline InSb2 at its relaxed geometry, as listed in the Alexandria database.

Output
Fermi-level density of states = 1.947 states/eV/f.u.
VASP energy = -10.543 eV for the cell shown
Formation energy (no corrections) = 146.8 meV per atom
SG = P4/mmm

abc: 4.369 4.369 5.087
angles: 90.00 90.00 90.00
Element x y z (fractional)
In 0.000 0.000 0.000
Sb 0.000 0.500 0.500
Sb 0.500 0.000 0.500


(17)
First-principles (GGA-PBE) data for crystalline In5Sb at its relaxed geometry, as listed in the Alexandria database.

Output
Fermi-level density of states = 1.909 states/eV/f.u.
VASP energy = -17.712 eV for the cell shown
Relative energy among the computed polymorphs = 0.000 eV/atom
Formation energy (no corrections) = 17.1 meV per atom
SG = Amm2

abc: 5.204 7.641 7.641
angles: 33.07 90.00 90.00
Element x y z (fractional)
In 0.000 0.000 0.000
In 0.000 0.327 0.327
In 0.500 0.163 0.163
In 0.500 0.496 0.496
In 0.500 0.830 0.830
Sb 0.000 0.664 0.664


(18)
First-principles (GGA-PBE) data for crystalline InSb3 at its relaxed geometry, as listed in the Alexandria database.

Output
Fermi-level density of states = 0.983 states/eV/f.u.
VASP energy = -30.292 eV for the cell shown
Relative energy among the computed polymorphs = 0.000 eV/atom
Formation energy (no corrections) = -10.1 meV per atom
SG = P4/nmm

abc: 6.089 6.089 6.596
angles: 90.00 90.00 90.00
Element x y z (fractional)
In 0.250 0.250 0.208
In 0.750 0.750 0.792
Sb 0.250 0.250 0.757
Sb 0.250 0.750 0.283
Sb 0.250 0.750 0.717
Sb 0.750 0.250 0.283
Sb 0.750 0.250 0.717
Sb 0.750 0.750 0.243


(19)
First-principles (GGA-PBE) data for crystalline In8Sb at its relaxed geometry, as listed in the Alexandria database.

Output
Fermi-level density of states = 3.609 states/eV/f.u.
VASP energy = -25.818 eV for the cell shown
Formation energy (no corrections) = 23.6 meV per atom
SG = I4/mmm

abc: 7.374 7.374 7.374
angles: 97.15 97.15 138.69
Element x y z (fractional)
In 0.000 0.334 0.334
In 0.000 0.666 0.666
In 0.334 0.000 0.334
In 0.335 0.335 0.671
In 0.335 0.665 0.000
In 0.665 0.335 0.000
In 0.665 0.665 0.329
In 0.666 0.000 0.666
Sb 0.000 0.000 0.000


(20)
First-principles (GGA-PBE) data for crystalline InSb at its relaxed geometry, as listed in the Alexandria database.

Output
Fermi-level density of states = 1.155 states/eV/f.u.
VASP energy = -13.159 eV for the cell shown
Formation energy (no corrections) = 140.7 meV per atom
SG = R-3m

abc: 11.235 11.235 11.235
angles: 17.32 17.32 17.32
Element x y z (fractional)
In 0.124 0.124 0.124
In 0.876 0.876 0.876
Sb 0.375 0.375 0.375
Sb 0.625 0.625 0.625


| no. | M_tot (μB per formula unit) |
| --- | --- |
| 1 | 0.00 |
| 2 | 0.00 |
| 3 | 0.00 |
| 4 | 0.00 |
| 5 | 0.00 |
| 6 | 0.00 |
| 7 | 0.00 |
| 8 | 0.00 |
| 9 | 0.00 |
| 10 | 0.00 |
| 11 | 0.00 |
| 12 | 0.00 |
| 13 | 0.00 |
| 14 | 0.00 |
| 15 | 0.00 |
| 16 | 0.00 |
| 17 | 0.00 |
| 18 | 0.00 |
| 19 | 0.00 |
| 20 | 0.00 |